Below is LiPm2GePt6 after structural relaxation, with properties calculated at the PBE level.

Values from the calculation:
Formation energy ... -68.7 kJ/mol of atoms
Calculated total energy ... -5.940 eV/atom
Spin magnetization ... 0.000 μB per formula unit

Geometry as POSCAR:
```
LiPm2GePt6
1.0
2.841 1.640 8.035
-2.841 1.640 8.035
0.000 -3.280 8.035
Li Pm Ge Pt
1 2 1 6
Direct
0.000 0.000 0.000
0.203 0.203 0.203
0.797 0.797 0.797
0.500 0.500 0.500
0.231 0.748 0.748
0.252 0.252 0.769
0.252 0.769 0.252
0.748 0.231 0.748
0.748 0.748 0.231
0.769 0.252 0.252
```

Below is MgBeCr after structural relaxation, with properties calculated at the PBE level.

Values from the calculation:
Formation energy ... 28.1 kJ/mol of atoms
Calculated total energy ... -4.690 eV/atom
Spin magnetization ... 0.623 μB per formula unit
Relative energy among the computed polymorphs ... 187 meV per atom

Geometry as POSCAR:
```
MgBeCr
1.0
4.212 0.000 0.000
0.000 9.221 0.000
0.000 0.000 4.276
Mg Be Cr
4 4 4
Direct
0.000 0.000 0.000
0.000 0.500 0.500
0.500 0.000 0.478
0.500 0.500 0.978
0.500 0.235 0.795
0.500 0.265 0.295
0.500 0.735 0.295
0.500 0.765 0.795
0.000 0.203 0.523
0.000 0.297 0.023
0.000 0.703 0.023
0.000 0.797 0.523
```

Below is AcLa4Pm after structural relaxation, with properties calculated at the PBE level.

Values from the calculation:
Formation energy ... 16.1 kJ/mol of atoms
Calculated total energy ... -4.595 eV/atom
Spin magnetization ... 0.000 μB per formula unit
Relative energy among the computed polymorphs ... 15 meV per atom

Geometry as POSCAR:
```
AcLa4Pm
1.0
12.144 0.000 0.000
0.000 3.611 0.000
-6.015 0.000 10.511
Ac La Pm
2 8 2
Direct
0.000 0.000 0.000
0.500 0.500 0.000
0.184 0.000 0.836
0.187 0.000 0.348
0.313 0.500 0.652
0.316 0.500 0.164
0.684 0.500 0.836
0.687 0.500 0.348
0.813 0.000 0.652
0.816 0.000 0.164
0.000 0.000 0.500
0.500 0.500 0.500
```

Below is KBeBiF6 after structural relaxation, with properties calculated at the PBE level.

Values from the calculation:
E_form (uncorrected) ... -2.749 eV/atom
Calculated total energy ... -4.964 eV/atom
Spin magnetization ... 0.000 μB per formula unit

Geometry as POSCAR:
```
KBeBiF6
1.0
5.802 0.000 0.000
-2.901 5.025 0.000
0.000 0.000 5.656
K Be Bi F
1 1 1 6
Direct
0.000 0.000 0.000
0.667 0.333 0.308
0.333 0.667 0.533
0.028 0.385 0.751
0.357 0.972 0.751
0.403 0.318 0.300
0.615 0.643 0.751
0.682 0.085 0.300
0.915 0.597 0.300
```

Below is ZrNi2Ir after structural relaxation, with properties calculated at the PBE level.

Values from the calculation:
Formation energy ... 10.4 kJ/mol of atoms
Calculated total energy ... -7.135 eV/atom
Spin magnetization ... 0.683 μB per formula unit

Geometry as POSCAR:
```
ZrNi2Ir
1.0
2.800 0.000 0.000
-1.400 2.425 0.000
0.000 0.000 25.965
Zr Ni Ir
3 6 3
Direct
0.000 0.000 0.000
0.333 0.667 0.667
0.667 0.333 0.333
0.000 0.000 0.245
0.000 0.000 0.505
0.333 0.667 0.172
0.333 0.667 0.912
0.667 0.333 0.579
0.667 0.333 0.839
0.000 0.000 0.760
0.333 0.667 0.427
0.667 0.333 0.093
```

Below is CoHgPt after structural relaxation, with properties calculated at the PBE level.

Values from the calculation:
Formation energy ... 35.6 kJ/mol of atoms
Calculated total energy ... -4.114 eV/atom
Spin magnetization ... 2.102 μB per formula unit
Relative energy among the computed polymorphs ... 210 meV per atom

Geometry as POSCAR:
```
CoHgPt
1.0
6.000 0.000 0.000
0.000 6.000 0.000
0.000 0.000 6.000
Co Hg Pt
4 4 4
Direct
0.000 0.000 0.000
0.000 0.500 0.500
0.500 0.000 0.500
0.500 0.500 0.000
0.250 0.250 0.750
0.250 0.750 0.250
0.750 0.250 0.250
0.750 0.750 0.750
0.250 0.250 0.250
0.250 0.750 0.750
0.750 0.250 0.750
0.750 0.750 0.250
```

Below is Tm2PdS after structural relaxation, with properties calculated at the PBE level.

Values from the calculation:
E_form (uncorrected) ... -0.775 eV/atom
Calculated total energy ... -5.341 eV/atom
Spin magnetization ... 0.000 μB per formula unit
Relative energy among the computed polymorphs ... 662 meV per atom

Geometry as POSCAR:
```
Tm2PdS
1.0
3.529 0.000 0.000
-1.764 3.056 0.000
0.000 0.000 25.896
Tm Pd S
6 3 3
Direct
0.000 0.000 0.100
0.000 0.000 0.900
0.333 0.667 0.566
0.333 0.667 0.767
0.667 0.333 0.233
0.667 0.333 0.434
0.000 0.000 0.000
0.333 0.667 0.667
0.667 0.333 0.333
0.000 0.000 0.500
0.333 0.667 0.167
0.667 0.333 0.833
```

Below is KZrW2 after structural relaxation, with properties calculated at the PBE level.

Values from the calculation:
Formation energy ... 135.7 kJ/mol of atoms
Calculated total energy ... -7.481 eV/atom
Spin magnetization ... 0.000 μB per formula unit
Relative energy among the computed polymorphs ... 723 meV per atom

Geometry as POSCAR:
```
KZrW2
1.0
4.827 0.000 0.000
0.000 4.827 0.000
0.000 0.000 6.860
K Zr W
2 2 4
Direct
0.000 0.000 0.000
0.500 0.500 0.500
0.000 0.500 0.250
0.500 0.000 0.750
0.000 0.000 0.500
0.000 0.500 0.750
0.500 0.000 0.250
0.500 0.500 0.000
```